# CrHg2HO

A geometry-optimized CrHg2HO structure (GGA+U, the Alexandria database).

Computed properties:
* E_tot: -15.96 eV/cell
* D(E_F): 1.8 states/eV/f.u.

Unit cell a=5.479 b=5.479 c=2.715 alpha=90.00 beta=90.00 gamma=90.00
Space group P4/mmm (No. 123)
Unique sites:
Cr (0.000, 0.000, 0.000)
Hg (0.000, 0.500, 0.500)
H (0.500, 0.500, 0.000)
O (0.500, 0.500, 0.500)